DFT (PBE) results for an optimized crystal structure of Nd7Tl2Pb2.

abc: 7.210 7.828 7.210
angles: 90.00 108.67 90.00
Sites, in units of the cell vectors:
1 Nd 0.000 0.293 0.500
2 Nd 0.500 0.707 0.000
3 Nd 0.000 0.707 0.500
4 Nd 0.500 0.293 0.000
5 Nd 0.000 0.000 0.000
6 Nd 0.500 0.747 0.500
7 Nd 0.500 0.253 0.500
8 Tl 0.717 0.000 0.283
9 Tl 0.283 0.000 0.717
10 Pb 0.819 0.500 0.819
11 Pb 0.181 0.500 0.181

## Properties
- Formation energy: -0.0944 eV/atom
- Space group: Cmmm (65)
- Uncorrected energy: -4.233 eV/atom
- DOS at the Fermi energy: 11.92 states/eV per cell

DFT (PBE) results for an optimized crystal structure of NdTl15Pb4.

abc: 5.098 5.098 23.408
angles: 90.00 90.00 90.00
Sites, in units of the cell vectors:
1 Nd 0.000 0.000 0.000
2 Tl 0.500 0.500 0.000
3 Tl 0.500 0.500 0.200
4 Tl 0.500 0.500 0.398
5 Tl 0.500 0.500 0.602
6 Tl 0.500 0.500 0.800
7 Tl 0.500 0.000 0.097
8 Tl 0.500 0.000 0.298
9 Tl 0.500 0.000 0.500
10 Tl 0.500 0.000 0.702
11 Tl 0.500 0.000 0.903
12 Tl 0.000 0.500 0.097
13 Tl 0.000 0.500 0.298
14 Tl 0.000 0.500 0.500
15 Tl 0.000 0.500 0.702
16 Tl 0.000 0.500 0.903
17 Pb 0.000 0.000 0.187
18 Pb 0.000 0.000 0.398
19 Pb 0.000 0.000 0.602
20 Pb 0.000 0.000 0.813

## Properties
- Formation energy: -0.0347 eV/atom
- Space group: P4/mmm (123)
- Uncorrected energy: -2.789 eV/atom
- DOS at the Fermi energy: 9.92 states/eV per cell

DFT (PBE) results for an optimized crystal structure of Nd2Tl2Pb.

abc: 7.230 6.583 8.144
angles: 106.84 90.00 123.31
Sites, in units of the cell vectors:
1 Nd 0.544 0.353 0.661
2 Nd 0.191 0.647 0.839
3 Nd 0.456 0.647 0.339
4 Nd 0.809 0.353 0.161
5 Tl 0.789 0.789 0.054
6 Tl 0.000 0.211 0.446
7 Tl 0.211 0.211 0.946
8 Tl 0.000 0.789 0.554
9 Pb 0.685 0.000 0.750
10 Pb 0.315 0.000 0.250

## Properties
- Formation energy: -0.3566 eV/atom
- Space group: C2/c (15)
- Uncorrected energy: -3.952 eV/atom
- DOS at the Fermi energy: 4.83 states/eV per cell

DFT (PBE) results for an optimized crystal structure of Nd4Tl5Pb.

abc: 5.057 6.825 9.817
angles: 114.24 104.93 90.00
Sites, in units of the cell vectors:
1 Nd 0.698 0.279 0.397
2 Nd 0.085 0.842 0.169
3 Nd 0.302 0.721 0.603
4 Nd 0.915 0.158 0.831
5 Tl 0.297 0.202 0.594
6 Tl 0.108 0.388 0.217
7 Tl 0.892 0.612 0.783
8 Tl 0.500 0.500 0.000
9 Tl 0.703 0.798 0.406
10 Pb 0.500 0.000 0.000

## Properties
- Formation energy: -0.3645 eV/atom
- Space group: C2/m (12)
- Uncorrected energy: -3.826 eV/atom
- DOS at the Fermi energy: 7.14 states/eV per cell

DFT (PBE) results for an optimized crystal structure of NdTl2Pb.

abc: 4.032 4.032 7.298
angles: 90.00 90.00 90.00
Sites, in units of the cell vectors:
1 Pb 0.500 0.500 0.000
2 Tl 0.000 0.000 0.760
3 Tl 0.000 0.000 0.240
4 Nd 0.500 0.500 0.500

## Properties
- Formation energy: -0.1633 eV/atom
- Space group: P4/mmm (123)
- Uncorrected energy: -3.465 eV/atom
- DOS at the Fermi energy: 3.04 states/eV per cell

DFT (PBE) results for an optimized crystal structure of Nd4Tl2Pb.

abc: 5.461 5.461 9.468
angles: 73.24 73.24 60.00
Sites, in units of the cell vectors:
1 Nd 0.873 0.873 0.380
2 Nd 0.127 0.127 0.620
3 Nd 0.620 0.620 0.139
4 Nd 0.380 0.380 0.861
5 Tl 0.755 0.755 0.736
6 Tl 0.245 0.245 0.264
7 Pb 0.000 0.000 0.000

## Properties
- Formation energy: -0.2692 eV/atom
- Space group: R-3m (166)
- Uncorrected energy: -4.200 eV/atom
- DOS at the Fermi energy: 8.65 states/eV per cell

DFT (PBE) results for an optimized crystal structure of Nd2TlPb4.

abc: 6.806 6.806 6.836
angles: 120.08 120.08 89.54
Sites, in units of the cell vectors:
1 Nd 0.286 0.786 0.571
2 Nd 0.786 0.286 0.571
3 Tl 0.786 0.786 0.571
4 Pb 0.786 0.786 0.072
5 Pb 0.286 0.286 0.071
6 Pb 0.786 0.286 0.071
7 Pb 0.286 0.786 0.071

## Properties
- Formation energy: -0.3084 eV/atom
- Space group: Fmmm (69)
- Uncorrected energy: -4.128 eV/atom
- DOS at the Fermi energy: 4.61 states/eV per cell

DFT (PBE) results for an optimized crystal structure of Nd9Tl2Pb.

abc: 4.999 4.999 14.983
angles: 90.00 90.00 90.00
Sites, in units of the cell vectors:
1 Nd 0.500 0.500 0.000
2 Nd 0.500 0.500 0.334
3 Nd 0.500 0.500 0.666
4 Nd 0.500 0.000 0.167
5 Nd 0.500 0.000 0.500
6 Nd 0.500 0.000 0.833
7 Nd 0.000 0.500 0.167
8 Nd 0.000 0.500 0.500
9 Nd 0.000 0.500 0.833
10 Tl 0.000 0.000 0.334
11 Tl 0.000 0.000 0.666
12 Pb 0.000 0.000 0.000

## Properties
- Formation energy: -0.2516 eV/atom
- Space group: P4/mmm (123)
- Uncorrected energy: -4.531 eV/atom
- DOS at the Fermi energy: 20.18 states/eV per cell

DFT (PBE) results for an optimized crystal structure of Nd7TlPb4.

abc: 5.903 8.889 9.302
angles: 59.80 71.50 70.61
Sites, in units of the cell vectors:
1 Nd 0.837 0.933 0.393
2 Nd 0.163 0.067 0.607
3 Nd 0.066 0.588 0.280
4 Nd 0.934 0.412 0.720
5 Nd 0.286 0.598 0.831
6 Nd 0.500 0.000 0.000
7 Nd 0.714 0.402 0.169
8 Tl 0.000 0.000 0.000
9 Pb 0.563 0.287 0.587
10 Pb 0.437 0.713 0.413
11 Pb 0.719 0.764 0.798
12 Pb 0.281 0.236 0.202

## Properties
- Formation energy: -0.3362 eV/atom
- Space group: C2/m (12)
- Uncorrected energy: -4.551 eV/atom
- DOS at the Fermi energy: 9.26 states/eV per cell

DFT (PBE) results for an optimized crystal structure of Nd5Tl2Pb2.

abc: 8.411 8.502 9.212
angles: 117.48 90.00 90.00
Sites, in units of the cell vectors:
1 Nd 0.000 0.000 0.000
2 Nd 0.500 0.500 0.000
3 Nd 0.829 0.816 0.279
4 Nd 0.171 0.463 0.279
5 Nd 0.329 0.963 0.279
6 Nd 0.671 0.316 0.279
7 Nd 0.171 0.184 0.721
8 Nd 0.829 0.537 0.721
9 Nd 0.671 0.037 0.721
10 Nd 0.329 0.684 0.721
11 Tl 0.627 0.873 0.000
12 Tl 0.373 0.127 0.000
13 Tl 0.127 0.627 0.000
14 Tl 0.873 0.373 0.000
15 Pb 0.000 0.207 0.414
16 Pb 0.500 0.707 0.414
17 Pb 0.000 0.793 0.586
18 Pb 0.500 0.293 0.586

## Properties
- Formation energy: -0.4524 eV/atom
- Space group: Cmce (64)
- Uncorrected energy: -4.451 eV/atom
- DOS at the Fermi energy: 15.40 states/eV per cell

DFT (PBE) results for an optimized crystal structure of NdTl2Pb2.

abc: 4.695 4.763 13.587
angles: 90.00 99.95 90.00
Sites, in units of the cell vectors:
1 Nd 0.351 0.250 0.701
2 Nd 0.649 0.750 0.299
3 Tl 0.049 0.750 0.097
4 Tl 0.451 0.750 0.902
5 Tl 0.951 0.250 0.903
6 Tl 0.549 0.250 0.098
7 Pb 0.750 0.250 0.500
8 Pb 0.250 0.750 0.500
9 Pb 0.854 0.750 0.707
10 Pb 0.146 0.250 0.293

## Properties
- Formation energy: -0.2188 eV/atom
- Space group: Cmcm (63)
- Uncorrected energy: -3.602 eV/atom
- DOS at the Fermi energy: 6.77 states/eV per cell

DFT (PBE) results for an optimized crystal structure of Nd12Tl6Pb.

abc: 9.155 9.155 9.155
angles: 107.77 107.77 107.77
Sites, in units of the cell vectors:
1 Nd 0.927 0.684 0.601
2 Nd 0.601 0.927 0.684
3 Nd 0.684 0.601 0.927
4 Nd 0.073 0.316 0.399
5 Nd 0.399 0.073 0.316
6 Nd 0.316 0.399 0.073
7 Nd 0.030 0.877 0.343
8 Nd 0.123 0.657 0.970
9 Nd 0.657 0.970 0.123
10 Nd 0.970 0.123 0.657
11 Nd 0.877 0.343 0.030
12 Nd 0.343 0.030 0.877
13 Tl 0.644 0.753 0.336
14 Tl 0.664 0.356 0.247
15 Tl 0.247 0.664 0.356
16 Tl 0.356 0.247 0.664
17 Tl 0.336 0.644 0.753
18 Tl 0.753 0.336 0.644
19 Pb 0.000 0.000 0.000

## Properties
- Formation energy: -0.1254 eV/atom
- Space group: R-3 (148)
- Uncorrected energy: -4.079 eV/atom
- DOS at the Fermi energy: 21.96 states/eV per cell

DFT (PBE) results for an optimized crystal structure of NdTlPb.

abc: 4.852 4.663 9.151
angles: 90.00 90.00 90.00
Sites, in units of the cell vectors:
1 Nd 0.000 0.500 0.250
2 Nd 0.000 0.500 0.750
3 Pb 0.000 0.000 0.000
4 Pb 0.000 0.000 0.500
5 Tl 0.500 0.000 0.250
6 Tl 0.500 0.000 0.750

## Properties
- Formation energy: -0.1735 eV/atom
- Space group: Pmmm (47)
- Uncorrected energy: -3.788 eV/atom
- DOS at the Fermi energy: 4.80 states/eV per cell

DFT (PBE) results for an optimized crystal structure of NdTlPb.

abc: 4.541 4.872 8.493
angles: 106.67 90.00 90.00
Sites, in units of the cell vectors:
1 Nd 0.250 0.092 0.184
2 Nd 0.750 0.908 0.816
3 Tl 0.250 0.431 0.861
4 Tl 0.750 0.569 0.139
5 Pb 0.250 0.746 0.492
6 Pb 0.750 0.254 0.508

## Properties
- Formation energy: -0.2980 eV/atom
- Space group: Cmcm (63)
- Uncorrected energy: -3.912 eV/atom
- DOS at the Fermi energy: 4.78 states/eV per cell

DFT (PBE) results for an optimized crystal structure of Nd8Tl5Pb.

abc: 8.354 8.354 8.354
angles: 109.52 109.37 109.52
Sites, in units of the cell vectors:
1 Nd 0.120 0.746 0.018
2 Nd 0.982 0.102 0.729
3 Nd 0.774 0.255 0.379
4 Nd 0.621 0.395 0.875
5 Nd 0.481 0.605 0.226
6 Nd 0.627 0.898 0.880
7 Nd 0.271 0.254 0.373
8 Nd 0.125 0.745 0.519
9 Tl 0.997 0.373 0.121
10 Tl 0.879 0.876 0.251
11 Tl 0.749 0.627 0.625
12 Tl 0.500 0.000 0.500
13 Tl 0.375 0.124 0.003
14 Pb 0.250 0.500 0.750

## Properties
- Formation energy: -0.3318 eV/atom
- Space group: I-4 (82)
- Uncorrected energy: -4.166 eV/atom
- DOS at the Fermi energy: 15.95 states/eV per cell

DFT (PBE) results for an optimized crystal structure of Nd12Tl3Pb.

abc: 4.996 4.996 19.999
angles: 90.00 90.00 90.00
Sites, in units of the cell vectors:
1 Nd 0.500 0.500 0.000
2 Nd 0.500 0.500 0.250
3 Nd 0.500 0.500 0.500
4 Nd 0.500 0.500 0.750
5 Nd 0.500 0.000 0.125
6 Nd 0.500 0.000 0.375
7 Nd 0.500 0.000 0.625
8 Nd 0.500 0.000 0.875
9 Nd 0.000 0.500 0.125
10 Nd 0.000 0.500 0.375
11 Nd 0.000 0.500 0.625
12 Nd 0.000 0.500 0.875
13 Tl 0.000 0.000 0.250
14 Tl 0.000 0.000 0.500
15 Tl 0.000 0.000 0.750
16 Pb 0.000 0.000 0.000

## Properties
- Formation energy: -0.2422 eV/atom
- Space group: P4/mmm (123)
- Uncorrected energy: -4.494 eV/atom
- DOS at the Fermi energy: 23.92 states/eV per cell

DFT (PBE) results for an optimized crystal structure of Nd6Tl5Pb.

abc: 9.544 5.546 8.785
angles: 71.60 79.43 54.46
Sites, in units of the cell vectors:
1 Nd 0.748 0.086 0.332
2 Nd 0.252 0.582 0.332
3 Nd 0.249 0.251 0.000
4 Nd 0.751 0.749 0.000
5 Nd 0.748 0.418 0.668
6 Nd 0.252 0.914 0.668
7 Tl 0.500 0.166 0.668
8 Tl 0.000 0.330 0.341
9 Tl 0.500 0.500 0.000
10 Tl 0.000 0.670 0.659
11 Tl 0.500 0.834 0.332
12 Pb 0.000 0.000 0.000

## Properties
- Formation energy: -0.4107 eV/atom
- Space group: Cmmm (65)
- Uncorrected energy: -4.090 eV/atom
- DOS at the Fermi energy: 5.25 states/eV per cell

DFT (PBE) results for an optimized crystal structure of NdTmTlPb.

abc: 5.459 5.459 5.459
angles: 60.00 60.00 60.00
Sites, in units of the cell vectors:
1 Pb 0.500 0.500 0.500
2 Tl 0.000 0.000 0.000
3 Tm 0.250 0.250 0.250
4 Nd 0.750 0.750 0.750

## Properties
- Formation energy: -0.3563 eV/atom
- Space group: F-43m (216)
- Uncorrected energy: -4.185 eV/atom
- DOS at the Fermi energy: 3.00 states/eV per cell

DFT (PBE) results for an optimized crystal structure of NdTmTlPb.

abc: 5.043 5.043 5.718
angles: 116.17 116.17 90.00
Sites, in units of the cell vectors:
1 Nd 0.750 0.250 0.500
2 Tm 0.250 0.750 0.500
3 Tl 0.000 0.000 0.000
4 Pb 0.500 0.500 0.000

## Properties
- Formation energy: -0.3939 eV/atom
- Space group: I-4m2 (119)
- Uncorrected energy: -4.222 eV/atom
- DOS at the Fermi energy: 3.35 states/eV per cell

DFT (PBE) results for an optimized crystal structure of NdTmPb6.

abc: 4.898 4.898 9.797
angles: 90.00 90.00 90.00
Sites, in units of the cell vectors:
1 Nd 0.000 0.000 0.000
2 Tm 0.000 0.000 0.500
3 Pb 0.500 0.500 0.000
4 Pb 0.500 0.500 0.500
5 Pb 0.500 0.000 0.256
6 Pb 0.500 0.000 0.744
7 Pb 0.000 0.500 0.256
8 Pb 0.000 0.500 0.744

## Properties
- Formation energy: -0.2972 eV/atom
- Space group: P4/mmm (123)
- Uncorrected energy: -4.233 eV/atom
- DOS at the Fermi energy: 4.12 states/eV per cell